[1]
Here is La4Tl2Sb after structural relaxation from Alexandria. Energies are from PBE-GGA.

Lattice parameters (Å, degrees): 9.6306 9.6306 9.6306 33.66 33.66 33.66
Fractional coordinates of all 7 atoms:
La: 0.1195 0.1195 0.1195
La: 0.3733 0.3733 0.3733
La: 0.6267 0.6267 0.6267
La: 0.8805 0.8805 0.8805
Tl: 0.2403 0.2403 0.2403
Tl: 0.7597 0.7597 0.7597
Sb: 0.0000 0.0000 0.0000

Properties
SG ... R-3m
Total moment ... 0.0 μB/cell
Formation energy from raw total energies ... -0.45 eV/atom


[2]
Here is PuAl4Pd after structural relaxation from Alexandria. Energies are from PBE-GGA.

Lattice parameters (Å, degrees): 8.6912 2.9190 8.4599 90.00 90.00 90.00
Fractional coordinates of all 12 atoms:
Pu: 0.2500 0.0000 0.0415
Pu: 0.7500 0.0000 0.9585
Al: 0.0000 0.0000 0.5000
Al: 0.0306 0.5000 0.7923
Al: 0.2500 0.5000 0.3771
Al: 0.4694 0.5000 0.7923
Al: 0.5000 0.0000 0.5000
Al: 0.5306 0.5000 0.2077
Al: 0.7500 0.5000 0.6229
Al: 0.9694 0.5000 0.2077
Pd: 0.2500 0.0000 0.6538
Pd: 0.7500 0.0000 0.3462

Properties
Total energy ... -6.13 eV per atom
SG ... Pmma
Total moment ... 11.4 μB/cell


[3]
Here is RbNa2CaAu after structural relaxation from Alexandria. Energies are from PBE-GGA.

Lattice parameters (Å, degrees): 5.9916 5.9916 5.7613 90.00 90.00 90.00
Fractional coordinates of all 5 atoms:
Rb: 0.0000 0.0000 0.0000
Na: 0.0000 0.5000 0.5000
Na: 0.5000 0.0000 0.5000
Ca: 0.5000 0.5000 0.0000
Au: 0.5000 0.5000 0.5000

Properties
Total energy ... -1.92 eV per atom
SG ... P4/mmm
Total moment ... 0.0 μB/cell


[4]
Here is InBiCl2 after structural relaxation from Alexandria. Energies are from PBE-GGA.

Lattice parameters (Å, degrees): 7.5297 7.5297 7.5297 90.00 90.00 90.00
Fractional coordinates of all 16 atoms:
In: 0.0000 0.0000 0.0000
In: 0.0000 0.5000 0.5000
In: 0.5000 0.0000 0.5000
In: 0.5000 0.5000 0.0000
Bi: 0.0000 0.0000 0.5000
Bi: 0.0000 0.5000 0.0000
Bi: 0.5000 0.0000 0.0000
Bi: 0.5000 0.5000 0.5000
Cl: 0.2500 0.2500 0.2500
Cl: 0.2500 0.2500 0.7500
Cl: 0.2500 0.7500 0.2500
Cl: 0.2500 0.7500 0.7500
Cl: 0.7500 0.2500 0.2500
Cl: 0.7500 0.2500 0.7500
Cl: 0.7500 0.7500 0.2500
Cl: 0.7500 0.7500 0.7500

Properties
SG ... Fm-3m
Total moment ... 1.2 μB/cell
Formation energy from raw total energies ... -0.22 eV/atom


[5]
Here is Na4ThPb15 after structural relaxation from Alexandria. Energies are from PBE-GGA.

Lattice parameters (Å, degrees): 4.8805 4.8805 25.0071 90.00 90.00 90.00
Fractional coordinates of all 20 atoms:
Na: 0.0000 0.0000 0.1000
Na: 0.0000 0.0000 0.3013
Na: 0.0000 0.0000 0.6987
Na: 0.0000 0.0000 0.9000
Th: 0.0000 0.0000 0.5000
Pb: 0.0000 0.5000 0.0000
Pb: 0.0000 0.5000 0.1998
Pb: 0.0000 0.5000 0.3986
Pb: 0.0000 0.5000 0.6014
Pb: 0.0000 0.5000 0.8002
Pb: 0.5000 0.0000 0.0000
Pb: 0.5000 0.0000 0.1998
Pb: 0.5000 0.0000 0.3986
Pb: 0.5000 0.0000 0.6014
Pb: 0.5000 0.0000 0.8002
Pb: 0.5000 0.5000 0.1006
Pb: 0.5000 0.5000 0.2995
Pb: 0.5000 0.5000 0.5000
Pb: 0.5000 0.5000 0.7005
Pb: 0.5000 0.5000 0.8994

Properties
Total energy ... -3.55 eV per atom
SG ... P4/mmm
Total moment ... 0.0 μB/cell


[6]
Here is PuPd2F11 after structural relaxation from Alexandria. Energies are from PBE-GGA.

Lattice parameters (Å, degrees): 8.1628 8.1628 8.1628 114.58 114.42 99.82
Fractional coordinates of all 28 atoms:
Pu: 0.2500 0.2500 0.0000
Pu: 0.7500 0.7500 0.0000
Pd: 0.1665 0.6663 0.8328
Pd: 0.3335 0.1663 0.4998
Pd: 0.6665 0.8337 0.5002
Pd: 0.8335 0.3337 0.1672
F: 0.0000 0.5000 0.5000
F: 0.0728 0.9246 0.2705
F: 0.0754 0.3463 0.1484
F: 0.1541 0.4246 0.8518
F: 0.1833 0.3168 0.5001
F: 0.1979 0.9270 0.8516
F: 0.3021 0.1537 0.7291
F: 0.3167 0.8168 0.1336
F: 0.3459 0.1978 0.2705
F: 0.4246 0.5730 0.2709
F: 0.4272 0.6978 0.8518
F: 0.5000 0.0000 0.5000
F: 0.5728 0.3022 0.1482
F: 0.5754 0.4270 0.7291
F: 0.6541 0.8022 0.7295
F: 0.6833 0.1832 0.8664
F: 0.6979 0.8463 0.2709
F: 0.8021 0.0730 0.1484
F: 0.8167 0.6832 0.4999
F: 0.8459 0.5754 0.1482
F: 0.9246 0.6537 0.8516
F: 0.9272 0.0754 0.7295

Properties
SG ... Ibam
Total moment ... 10.0 μB/cell
Formation energy from raw total energies ... -1.92 eV/atom


[7]
Here is RbZnI3 after structural relaxation from Alexandria. Energies are from PBE-GGA.

Lattice parameters (Å, degrees): 5.7781 5.7781 5.7781 90.00 90.00 90.00
Fractional coordinates of all 5 atoms:
Rb: 0.0000 0.0000 0.0000
Zn: 0.5000 0.5000 0.5000
I: 0.0000 0.5000 0.5000
I: 0.5000 0.0000 0.5000
I: 0.5000 0.5000 0.0000

Properties
SG ... Pm-3m
Total moment ... 0.0 μB/cell
Formation energy from raw total energies ... -0.80 eV/atom


[8]
Here is LaNd2Sm after structural relaxation from Alexandria. Energies are from PBE-GGA.

Lattice parameters (Å, degrees): 3.6881 3.6881 10.4284 90.00 90.00 90.00
Fractional coordinates of all 4 atoms:
La: 0.0000 0.0000 0.0000
Nd: 0.5000 0.5000 0.2540
Nd: 0.5000 0.5000 0.7460
Sm: 0.0000 0.0000 0.5000

Properties
Total energy ... -4.78 eV per atom
SG ... P4/mmm
Total moment ... 0.0 μB/cell


[9]
Here is Sr2SbRh3 after structural relaxation from Alexandria. Energies are from PBE-GGA.

Lattice parameters (Å, degrees): 5.7929 5.7929 8.6346 90.00 90.00 120.00
Fractional coordinates of all 12 atoms:
Sr: 0.3333 0.6667 0.0690
Sr: 0.3333 0.6667 0.4310
Sr: 0.6667 0.3333 0.5690
Sr: 0.6667 0.3333 0.9310
Sb: 0.0000 0.0000 0.0000
Sb: 0.0000 0.0000 0.5000
Rh: 0.1729 0.3458 0.7500
Rh: 0.1729 0.8271 0.7500
Rh: 0.3458 0.1729 0.2500
Rh: 0.6542 0.8271 0.7500
Rh: 0.8271 0.1729 0.2500
Rh: 0.8271 0.6542 0.2500

Properties
SG ... P6_3/mmc
Total moment ... 0.0 μB/cell
Formation energy from raw total energies ... -0.47 eV/atom


[10]
Here is Y12Ho2Th5 after structural relaxation from Alexandria. Energies are from PBE-GGA.

Lattice parameters (Å, degrees): 10.0203 10.0203 10.2427 111.37 111.37 41.28
Fractional coordinates of all 19 atoms:
Y: 0.0042 0.0042 0.3232
Y: 0.0840 0.5817 0.4804
Y: 0.0957 0.5881 0.1358
Y: 0.4119 0.9043 0.8642
Y: 0.4183 0.9160 0.5196
Y: 0.4716 0.4716 0.7621
Y: 0.5284 0.5284 0.2379
Y: 0.5817 0.0840 0.4804
Y: 0.5881 0.0957 0.1358
Y: 0.9043 0.4119 0.8642
Y: 0.9160 0.4183 0.5196
Y: 0.9958 0.9958 0.6768
Ho: 0.2157 0.7843 0.0000
Ho: 0.7843 0.2157 0.0000
Th: 0.1762 0.1762 0.2077
Th: 0.3151 0.3151 0.8202
Th: 0.5000 0.5000 0.5000
Th: 0.6849 0.6849 0.1798
Th: 0.8238 0.8238 0.7923

Properties
Total energy ... -6.30 eV per atom
SG ... C2/m
Total moment ... 0.0 μB/cell


[11]
Here is V5Cr4Mo2 after structural relaxation from Alexandria. Energies are from PBE-GGA.

Lattice parameters (Å, degrees): 8.9663 8.9663 8.9663 163.09 132.52 50.76
Fractional coordinates of all 11 atoms:
V: 0.0000 0.0000 0.0000
V: 0.0445 0.3579 0.6867
V: 0.3288 0.6421 0.6867
V: 0.6712 0.3579 0.3133
V: 0.9555 0.6421 0.3133
Cr: 0.2884 0.5000 0.7884
Cr: 0.4146 0.9146 0.5000
Cr: 0.5854 0.0854 0.5000
Cr: 0.7116 0.5000 0.2116
Mo: 0.2734 0.7734 0.5000
Mo: 0.7266 0.2266 0.5000

Properties
Total energy ... -9.15 eV per atom
SG ... Immm
Total moment ... 0.0 μB/cell


[12]
Here is Tb2ErTm after structural relaxation from Alexandria. Energies are from PBE-GGA.

Lattice parameters (Å, degrees): 3.5243 3.5243 34.3819 90.00 90.00 120.00
Fractional coordinates of all 12 atoms:
Tb: 0.0000 0.0000 0.2502
Tb: 0.0000 0.0000 0.7498
Tb: 0.3333 0.6667 0.4165
Tb: 0.3333 0.6667 0.9169
Tb: 0.6667 0.3333 0.0831
Tb: 0.6667 0.3333 0.5835
Er: 0.0000 0.0000 0.5000
Er: 0.3333 0.6667 0.1667
Er: 0.6667 0.3333 0.8333
Tm: 0.0000 0.0000 0.0000
Tm: 0.3333 0.6667 0.6667
Tm: 0.6667 0.3333 0.3333

Properties
Total energy ... -4.55 eV per atom
SG ... R-3m
Total moment ... 0.0 μB/cell


[13]
Here is LaSeO after structural relaxation from Alexandria. Energies are from PBE-GGA.

Lattice parameters (Å, degrees): 4.0436 4.9423 7.2560 72.41 74.80 88.94
Fractional coordinates of all 6 atoms:
La: 0.1792 0.1816 0.1563
La: 0.8208 0.8184 0.8437
Se: 0.4208 0.2294 0.5210
Se: 0.5792 0.7706 0.4790
O: 0.2410 0.7357 0.0216
O: 0.7590 0.2643 0.9784

Properties
SG ... P-1
Total moment ... 0.0 μB/cell
Formation energy from raw total energies ... -2.52 eV/atom


[14]
Here is La2HoErTm4 after structural relaxation from Alexandria. Energies are from PBE-GGA.

Lattice parameters (Å, degrees): 7.1862 7.1878 9.9016 89.96 89.97 89.77
Fractional coordinates of all 16 atoms:
La: 0.0000 0.0000 0.0000
La: 0.0000 0.0000 0.5000
La: 0.0000 0.5000 0.0000
La: 0.5000 0.0000 0.0000
Ho: 0.5000 0.0000 0.5000
Ho: 0.5000 0.5000 0.0000
Er: 0.0000 0.5000 0.5000
Er: 0.5000 0.5000 0.5000
Tm: 0.2535 0.2540 0.2541
Tm: 0.2538 0.2538 0.7457
Tm: 0.2538 0.7458 0.2541
Tm: 0.2537 0.7462 0.7459
Tm: 0.7463 0.2538 0.2541
Tm: 0.7462 0.2542 0.7459
Tm: 0.7462 0.7462 0.2543
Tm: 0.7465 0.7460 0.7459

Properties
Total energy ... -4.58 eV per atom
SG ... P-1
Total moment ... 0.0 μB/cell


[15]
Here is DyAgPd after structural relaxation from Alexandria. Energies are from PBE-GGA.

Lattice parameters (Å, degrees): 5.0012 5.0012 5.7005 90.00 90.00 120.00
Fractional coordinates of all 6 atoms:
Dy: 0.3333 0.6667 0.2500
Dy: 0.6667 0.3333 0.7500
Ag: 0.0000 0.0000 0.0000
Ag: 0.0000 0.0000 0.5000
Pd: 0.3333 0.6667 0.7500
Pd: 0.6667 0.3333 0.2500

Properties
Total energy ... -4.83 eV per atom
SG ... P6_3/mmc
Total moment ... 0.0 μB/cell


[16]
Here is LaPr2N after structural relaxation from Alexandria. Energies are from PBE-GGA.

Lattice parameters (Å, degrees): 3.6239 3.6239 30.1591 90.00 90.00 120.00
Fractional coordinates of all 12 atoms:
La: 0.0000 0.0000 0.0000
La: 0.3333 0.6667 0.6667
La: 0.6667 0.3333 0.3333
Pr: 0.0000 0.0000 0.1202
Pr: 0.0000 0.0000 0.8798
Pr: 0.3333 0.6667 0.5465
Pr: 0.3333 0.6667 0.7868
Pr: 0.6667 0.3333 0.2132
Pr: 0.6667 0.3333 0.4535
N: 0.0000 0.0000 0.5000
N: 0.3333 0.6667 0.1667
N: 0.6667 0.3333 0.8333

Properties
SG ... R-3m
Total moment ... 0.7 μB/cell
Formation energy from raw total energies ... -0.55 eV/atom


[17]
Here is SmZnInAg after structural relaxation from Alexandria. Energies are from PBE-GGA.

Lattice parameters (Å, degrees): 7.0102 7.0102 7.0102 90.00 90.00 90.00
Fractional coordinates of all 16 atoms:
Sm: 0.0000 0.0000 0.0000
Sm: 0.0000 0.5000 0.5000
Sm: 0.5000 0.0000 0.5000
Sm: 0.5000 0.5000 0.0000
Zn: 0.2500 0.2500 0.7500
Zn: 0.2500 0.7500 0.2500
Zn: 0.7500 0.2500 0.2500
Zn: 0.7500 0.7500 0.7500
In: 0.0000 0.0000 0.5000
In: 0.0000 0.5000 0.0000
In: 0.5000 0.0000 0.0000
In: 0.5000 0.5000 0.5000
Ag: 0.2500 0.2500 0.2500
Ag: 0.2500 0.7500 0.7500
Ag: 0.7500 0.2500 0.7500
Ag: 0.7500 0.7500 0.2500

Properties
Total energy ... -3.24 eV per atom
SG ... F-43m
Total moment ... 0.0 μB/cell


[18]
Here is BaAuN2F after structural relaxation from Alexandria. Energies are from PBE-GGA.

Lattice parameters (Å, degrees): 4.0264 4.0264 5.3370 90.00 90.00 90.00
Fractional coordinates of all 5 atoms:
Ba: 0.0000 0.0000 0.0000
Au: 0.5000 0.5000 0.5000
N: 0.0000 0.5000 0.5000
N: 0.5000 0.0000 0.5000
F: 0.5000 0.5000 0.0000

Properties
SG ... P4/mmm
Total moment ... 2.3 μB/cell
Formation energy from raw total energies ... -0.08 eV/atom


[19]
Here is Os2RhSe after structural relaxation from Alexandria. Energies are from PBE-GGA.

Lattice parameters (Å, degrees): 6.2513 6.2513 6.2513 90.00 90.00 90.00
Fractional coordinates of all 16 atoms:
Os: 0.0000 0.0000 0.0000
Os: 0.0000 0.5000 0.5000
Os: 0.2500 0.2500 0.2500
Os: 0.2500 0.7500 0.7500
Os: 0.5000 0.0000 0.5000
Os: 0.5000 0.5000 0.0000
Os: 0.7500 0.2500 0.7500
Os: 0.7500 0.7500 0.2500
Rh: 0.2500 0.2500 0.7500
Rh: 0.2500 0.7500 0.2500
Rh: 0.7500 0.2500 0.2500
Rh: 0.7500 0.7500 0.7500
Se: 0.0000 0.0000 0.5000
Se: 0.0000 0.5000 0.0000
Se: 0.5000 0.0000 0.0000
Se: 0.5000 0.5000 0.5000

Properties
SG ... F-43m
Total moment ... 5.6 μB/cell
Formation energy from raw total energies ... 0.82 eV/atom


[20]
Here is ScCdPd3 after structural relaxation from Alexandria. Energies are from PBE-GGA.

Lattice parameters (Å, degrees): 4.7748 4.7748 4.7748 90.00 90.00 90.00
Fractional coordinates of all 5 atoms:
Sc: 0.0000 0.0000 0.0000
Cd: 0.5000 0.5000 0.5000
Pd: 0.0000 0.0000 0.5000
Pd: 0.0000 0.5000 0.0000
Pd: 0.5000 0.0000 0.0000

Properties
Total energy ... -4.35 eV per atom
SG ... Pm-3m
Total moment ... 0.0 μB/cell